[1]
The following is a PBE-GGA calculation of a geometry-optimized CaHg2Bi2 structure, from Alexandria.

Energy of formation from the pure elements (meV per atom): -238
Raw total energy (eV/atom): -2.312
Total moment (μB/atom): 0.000
Calculated density (g cm⁻³): 8.45
Crystal system: trigonal
Energy above the most stable polymorph in this dataset (kJ per mole of atoms): 7.0

The structure in CIF format:
```
data_CaHg2Bi2
_symmetry_space_group_name_H-M 'R -3 m'
_symmetry_Int_Tables_number 166
_symmetry_space_group_name_Hall '-R 3 2"'
_cell_length_a 5.0784
_cell_length_b 5.0784
_cell_length_c 22.6785
_cell_angle_alpha 90.00
_cell_angle_beta 90.00
_cell_angle_gamma 120.00
loop_
_atom_site_label
_atom_site_fract_x
_atom_site_fract_y
_atom_site_fract_z
_atom_site_occupancy
Ca1 0.0000 0.0000 0.0000 1
Hg1 0.0000 0.0000 0.2733 1
Bi1 0.0000 0.0000 0.4276 1
```

[2]
The following is a PBE-GGA calculation of a geometry-optimized Ca2Hg8Bi structure, from Alexandria.

Energy of formation from the pure elements (meV per atom): -185
Raw total energy (eV/atom): -1.121
Total moment (μB/atom): 0.000
Calculated density (g cm⁻³): 9.93
Crystal system: monoclinic
Energy above the most stable polymorph in this dataset (kJ per mole of atoms): 7.8

The structure in CIF format:
```
data_Ca2Hg8Bi
_symmetry_space_group_name_H-M 'C 1 2/m 1'
_symmetry_Int_Tables_number 12
_symmetry_space_group_name_Hall '-C 2y'
_cell_length_a 9.472
_cell_length_b 13.997
_cell_length_c 4.820
_cell_angle_alpha 90.00
_cell_angle_beta 97.63
_cell_angle_gamma 90.00
loop_
_atom_site_label
_atom_site_fract_x
_atom_site_fract_y
_atom_site_fract_z
_atom_site_occupancy
Ca1 0.000 0.136 0.000 1
Hg1 0.000 0.272 0.500 1
Hg2 0.165 0.000 0.485 1
Hg3 0.173 0.366 0.051 1
Bi1 0.000 0.500 0.500 1
```

[3]
The following is a PBE-GGA calculation of a geometry-optimized CaHg3Bi3 structure, from Alexandria.

Energy of formation from the pure elements (meV per atom): 216
Raw total energy (eV/atom): -1.863
Total moment (μB/atom): 0.000
Calculated density (g cm⁻³): 7.55
Crystal system: cubic

The structure in CIF format:
```
data_CaHg3Bi3
_symmetry_space_group_name_H-M 'P m -3 n'
_symmetry_Int_Tables_number 223
_symmetry_space_group_name_Hall '-P 4n 2 3'
_cell_length_a 8.232
_cell_length_b 8.232
_cell_length_c 8.232
_cell_angle_alpha 90.00
_cell_angle_beta 90.00
_cell_angle_gamma 90.00
loop_
_atom_site_label
_atom_site_fract_x
_atom_site_fract_y
_atom_site_fract_z
_atom_site_occupancy
Ca1 0.000 0.000 0.000 1
Hg1 0.000 0.250 0.500 1
Bi1 0.000 0.500 0.250 1
```